The following is a SCAN calculation of Zn3PdPt at its PBEsol-relaxed geometry, from Alexandria.

Values from the calculation:
Energy relative to the elements: 504 meV/atom
DFT total energy: -28.1982 eV per atom

Unit cell a=4.556 b=4.556 c=4.556 alpha=90.00 beta=90.00 gamma=90.00
Space group Pm-3m (No. 221)
One atom of each set of equivalent atoms:
Zn: 0.000 0.000 0.500 (multiplicity 3)
Pd: 0.000 0.000 0.000 (multiplicity 1)
Pt: 0.500 0.500 0.500 (multiplicity 1)

---

The following is a SCAN calculation of MgSiRu at its PBEsol-relaxed geometry, from Alexandria.

Values from the calculation:
DFT total energy: -17.1467 eV per atom
Formation energy from raw total energies: -1.6 eV/f.u.

Unit cell a=3.071 b=3.071 c=9.197 alpha=90.00 beta=90.00 gamma=90.00
Space group I4mm (No. 107)
One atom of each set of equivalent atoms:
Mg: 0.000 0.000 0.000 (multiplicity 2)
Si: 0.000 0.000 0.307 (multiplicity 2)
Ru: 0.000 0.000 0.690 (multiplicity 2)

---

The following is a SCAN calculation of ScMoP2Ru at its PBEsol-relaxed geometry, from Alexandria.

Values from the calculation:
Energy relative to the elements: 1363 meV/atom
DFT total energy: -19.5862 eV per atom

Unit cell a=4.692 b=4.692 c=4.375 alpha=90.00 beta=90.00 gamma=90.00
Space group P4/mmm (No. 123)
One atom of each set of equivalent atoms:
Sc: 0.000 0.000 0.000 (multiplicity 1)
Mo: 0.500 0.500 0.500 (multiplicity 1)
P: 0.000 0.500 0.000 (multiplicity 2)
Ru: 0.000 0.000 0.500 (multiplicity 1)

---

The following is a SCAN calculation of BaLi2Pt at its PBEsol-relaxed geometry, from Alexandria.

Values from the calculation:
Energy relative to the elements: -466 meV/atom
DFT total energy: -29.0971 eV per atom
Polymorph energy (0 for the lowest one): 52 meV/atom

Unit cell a=4.045 b=4.101 c=6.613 alpha=90.00 beta=107.52 gamma=90.00
Space group Pm (No. 6)
One atom of each set of equivalent atoms:
Ba: 0.000 0.000 0.000 (multiplicity 1)
Li: 0.282 0.000 0.555 (multiplicity 1)
Li: 0.764 0.500 0.522 (multiplicity 1)
Pt: 0.394 0.500 0.785 (multiplicity 1)

---

The following is a SCAN calculation of ReAgCl2 at its PBEsol-relaxed geometry, from Alexandria.

Values from the calculation:
DFT total energy: -28.7913 eV per atom
Polymorph energy (0 for the lowest one): 581 meV/atom
Formation energy from raw total energies: 3.3 eV/f.u.

Unit cell a=2.867 b=4.234 c=5.727 alpha=90.00 beta=90.00 gamma=90.00
Space group Pmmm (No. 47)
One atom of each set of equivalent atoms:
Re: 0.000 0.000 0.000 (multiplicity 1)
Ag: 0.500 0.000 0.500 (multiplicity 1)
Cl: 0.000 0.500 0.500 (multiplicity 1)
Cl: 0.500 0.500 0.000 (multiplicity 1)

---

The following is a SCAN calculation of LiTi2BeAl at its PBEsol-relaxed geometry, from Alexandria.

Values from the calculation:
Energy relative to the elements: 355 meV/atom
DFT total energy: -8.9557 eV per atom

Unit cell a=4.416 b=4.416 c=4.241 alpha=90.00 beta=90.00 gamma=90.00
Space group P4/mmm (No. 123)
One atom of each set of equivalent atoms:
Li: 0.000 0.000 0.000 (multiplicity 1)
Ti: 0.000 0.500 0.500 (multiplicity 2)
Be: 0.500 0.500 0.500 (multiplicity 1)
Al: 0.500 0.500 0.000 (multiplicity 1)

---

The following is a SCAN calculation of Cr3Co at its PBEsol-relaxed geometry, from Alexandria.

Values from the calculation:
Energy relative to the elements: -40 meV/atom
DFT total energy: -18.1544 eV per atom

Unit cell a=3.945 b=3.945 c=2.850 alpha=90.00 beta=90.00 gamma=90.00
Space group P4/mmm (No. 123)
One atom of each set of equivalent atoms:
Cr: 0.000 0.000 0.000 (multiplicity 1)
Cr: 0.000 0.500 0.500 (multiplicity 2)
Co: 0.500 0.500 0.000 (multiplicity 1)

---

The following is a SCAN calculation of As2PbSeF at its PBEsol-relaxed geometry, from Alexandria.

Values from the calculation:
DFT total energy: -27.0337 eV per atom
Formation energy from raw total energies: 4.6 eV/f.u.

Unit cell a=5.397 b=5.397 c=5.301 alpha=90.00 beta=90.00 gamma=90.00
Space group P4/mmm (No. 123)
One atom of each set of equivalent atoms:
As: 0.000 0.500 0.000 (multiplicity 2)
Pb: 0.000 0.000 0.000 (multiplicity 1)
Se: 0.000 0.000 0.500 (multiplicity 1)
F: 0.500 0.500 0.500 (multiplicity 1)

---

Please write out number 6 again, unchanged.
The following is a SCAN calculation of LiTi2BeAl at its PBEsol-relaxed geometry, from Alexandria.

Values from the calculation:
Energy relative to the elements: 355 meV/atom
DFT total energy: -8.9557 eV per atom

Unit cell a=4.416 b=4.416 c=4.241 alpha=90.00 beta=90.00 gamma=90.00
Space group P4/mmm (No. 123)
One atom of each set of equivalent atoms:
Li: 0.000 0.000 0.000 (multiplicity 1)
Ti: 0.000 0.500 0.500 (multiplicity 2)
Be: 0.500 0.500 0.500 (multiplicity 1)
Al: 0.500 0.500 0.000 (multiplicity 1)

---

Q: DFT total energy of number 3 (ScMoP2Ru)?
A: -19.5862 eV per atom

---

Q: What is the formula in the fourth record?
A: BaLi2Pt

---

Copy entry 3 word for word.
The following is a SCAN calculation of ScMoP2Ru at its PBEsol-relaxed geometry, from Alexandria.

Values from the calculation:
Energy relative to the elements: 1363 meV/atom
DFT total energy: -19.5862 eV per atom

Unit cell a=4.692 b=4.692 c=4.375 alpha=90.00 beta=90.00 gamma=90.00
Space group P4/mmm (No. 123)
One atom of each set of equivalent atoms:
Sc: 0.000 0.000 0.000 (multiplicity 1)
Mo: 0.500 0.500 0.500 (multiplicity 1)
P: 0.000 0.500 0.000 (multiplicity 2)
Ru: 0.000 0.000 0.500 (multiplicity 1)